--- w ---
# KSr2Ta, optimized geometry, DFT PBEsol
data_KSr2Ta
_cell_length_a 4.249
_cell_length_b 4.249
_cell_length_c 9.341
_cell_angle_alpha 90.00
_cell_angle_beta 90.00
_cell_angle_gamma 90.00
_symmetry_space_group_name_H-M 'P 1'
_symmetry_Int_Tables_number 1
loop_
_symmetry_equiv_pos_as_xyz
'x,y,z'
loop_
_atom_site_label
_atom_site_fract_x
_atom_site_fract_y
_atom_site_fract_z
Sr1 0.500 0.500 0.308
Ta1 0.000 0.000 0.440
Sr2 0.000 0.000 0.051
K1 0.500 0.500 0.701
# - Calculated volume: 168.6 Å³/f.u.
# - SG: P4mm, No. 99
# - Crystal system: tetragonal

--- x ---
# KSr2Ta, optimized geometry, DFT PBEsol
data_KSr2Ta
_cell_length_a 3.413
_cell_length_b 6.132
_cell_length_c 6.629
_cell_angle_alpha 90.00
_cell_angle_beta 89.98
_cell_angle_gamma 90.00
_symmetry_space_group_name_H-M 'P 1'
_symmetry_Int_Tables_number 1
loop_
_symmetry_equiv_pos_as_xyz
'x,y,z'
loop_
_atom_site_label
_atom_site_fract_x
_atom_site_fract_y
_atom_site_fract_z
K1 0.375 0.500 0.773
Ta1 0.375 0.000 0.440
Sr1 0.875 0.500 0.311
Sr2 0.875 0.000 0.976
# - Calculated volume: 138.7 Å³/f.u.
# - SG: Pmm2, No. 25
# - Crystal system: orthorhombic

Of them, the most stable is x and the least stable is w.

--- w ---
# KSrTa2, optimized geometry, DFT PBEsol
data_KSrTa2
_cell_length_a 4.024
_cell_length_b 4.024
_cell_length_c 5.917
_cell_angle_alpha 90.00
_cell_angle_beta 90.00
_cell_angle_gamma 90.00
_symmetry_space_group_name_H-M 'P 1'
_symmetry_Int_Tables_number 1
loop_
_symmetry_equiv_pos_as_xyz
'x,y,z'
loop_
_atom_site_label
_atom_site_fract_x
_atom_site_fract_y
_atom_site_fract_z
Ta1 0.000 0.500 0.000
Ta2 0.500 0.000 0.000
Sr1 0.000 0.000 0.500
K1 0.500 0.500 0.500
# - Calculated volume: 95.8 Å³/f.u.
# - SG: P4/mmm, No. 123
# - Crystal system: tetragonal

--- x ---
# KSrTa2, optimized geometry, DFT PBEsol
data_KSrTa2
_cell_length_a 3.233
_cell_length_b 6.239
_cell_length_c 6.786
_cell_angle_alpha 117.37
_cell_angle_beta 103.78
_cell_angle_gamma 90.00
_symmetry_space_group_name_H-M 'P 1'
_symmetry_Int_Tables_number 1
loop_
_symmetry_equiv_pos_as_xyz
'x,y,z'
loop_
_atom_site_label
_atom_site_fract_x
_atom_site_fract_y
_atom_site_fract_z
K1 0.478 0.478 0.956
Ta1 0.708 0.208 0.416
Sr1 0.271 0.771 0.543
Ta2 0.043 0.043 0.085
# - Calculated volume: 117.1 Å³/f.u.
# - SG: Imm2, No. 44
# - Crystal system: orthorhombic

Of them, the most stable is x and the least stable is w.

--- w ---
# K2SrTl, optimized geometry, DFT PBEsol
data_K2SrTl
_cell_length_a 6.221
_cell_length_b 6.221
_cell_length_c 6.221
_cell_angle_alpha 60.00
_cell_angle_beta 60.00
_cell_angle_gamma 60.00
_symmetry_space_group_name_H-M 'P 1'
_symmetry_Int_Tables_number 1
loop_
_symmetry_equiv_pos_as_xyz
'x,y,z'
loop_
_atom_site_label
_atom_site_fract_x
_atom_site_fract_y
_atom_site_fract_z
Tl1 0.500 0.500 0.500
Sr1 0.000 0.000 0.000
K1 0.750 0.750 0.750
K2 0.250 0.250 0.250
# - Calculated volume: 170.2 Å³/f.u.
# - SG: Fm-3m, No. 225
# - Crystal system: cubic

--- x ---
# K2SrTl, optimized geometry, DFT PBEsol
data_K2SrTl
_cell_length_a 4.196
_cell_length_b 4.195
_cell_length_c 10.926
_cell_angle_alpha 90.00
_cell_angle_beta 90.12
_cell_angle_gamma 90.00
_symmetry_space_group_name_H-M 'P 1'
_symmetry_Int_Tables_number 1
loop_
_symmetry_equiv_pos_as_xyz
'x,y,z'
loop_
_atom_site_label
_atom_site_fract_x
_atom_site_fract_y
_atom_site_fract_z
Tl1 0.502 0.500 0.721
K1 0.496 0.500 0.273
K2 0.002 0.000 0.932
Sr1 0.001 0.000 0.575
# - Calculated volume: 192.3 Å³/f.u.
# - SG: Pm, No. 6
# - Crystal system: monoclinic

Of them, the most stable is x and the least stable is w.